A plane-wave DFT calculation with GGA-PBE was carried out for a relaxed RbHgO2 crystal.

```
RbHgO2
1.0
3.8796 0.0000 0.0000
-1.9398 3.3598 0.0000
0.0000 0.0000 21.6845
Rb Hg O
3 3 6
Direct
0.0000 0.0000 0.0000
0.3333 0.6667 0.6667
0.6667 0.3333 0.3333
0.0000 0.0000 0.5000
0.3333 0.6667 0.1667
0.6667 0.3333 0.8333
0.0000 0.0000 0.4103
0.0000 0.0000 0.5897
0.3333 0.6667 0.0770
0.3333 0.6667 0.2563
0.6667 0.3333 0.7437
0.6667 0.3333 0.9230
```

As for the space-group type: R-3m (166). The calculation puts the calculated total energy at -39.57 eV per cell. The calculation puts the uncorrected formation energy at -0.5007 eV/atom. As for the size of the total moment: 1.0 μB/f.u. The crystal system is trigonal. The calculation puts the density of states at the Fermi level at 2.37 states/eV per atom. The theoretical density is 5.61 g/cm³.